[1]
Crystalline Tb6Nd3Ho2Tm at its relaxed geometry, computed with GGA-PBE.

spin magnetization = 0.0 μB per formula unit
space-group type = C2/m (12)
electronic total energy = -55.5 eV per formula unit
density of states at the Fermi level = 1.3240 states/eV/atom

Lattice parameters (Å, degrees): 6.1997 6.1997 11.8557 94.99 94.99 119.98
Positions (direct):
Nd1 0.1667 0.8333 0.5000
Nd2 0.5000 0.5000 0.5000
Nd3 0.8333 0.1667 0.5000
Ho1 0.6666 0.3334 0.0000
Ho2 0.3334 0.6666 0.0000
Tb1 0.7492 0.7492 0.2454
Tb2 0.9178 0.5847 0.7547
Tb3 0.2508 0.2508 0.7546
Tb4 0.4153 0.0822 0.2453
Tb5 0.5847 0.9178 0.7547
Tb6 0.0822 0.4153 0.2453
Tm1 0.0000 0.0000 0.0000

[2]
Crystalline Tb2Nd2HoTm at its relaxed geometry, computed with GGA-PBE.

spin magnetization = 0.0 μB per formula unit
space-group type = Pmma (51)
electronic total energy = -27.5 eV per formula unit
density of states at the Fermi level = 1.5109 states/eV/atom

Lattice parameters (Å, degrees): 5.6489 7.0159 9.7928 90.00 90.00 90.00
Positions (direct):
Tb1 0.0000 0.2575 0.8366
Tb2 0.0000 0.7575 0.1634
Tb3 0.5000 0.7577 0.6680
Tb4 0.5000 0.2577 0.3320
Tm1 0.0000 0.0077 0.5000
Tm2 0.0000 0.5077 0.5000
Nd1 0.0000 0.7575 0.8216
Nd2 0.0000 0.2575 0.1784
Nd3 0.5000 0.0075 0.9999
Nd4 0.5000 0.5075 0.0001
Ho1 0.5000 0.2578 0.6581
Ho2 0.5000 0.7578 0.3419

[3]
Crystalline TbNd2HoTm5 at its relaxed geometry, computed with GGA-PBE.

spin magnetization = 0.0 μB per formula unit
space-group type = I4/mcm (140)
electronic total energy = -38.6 eV per formula unit
density of states at the Fermi level = 1.1719 states/eV/atom

Lattice parameters (Å, degrees): 8.5831 8.5831 9.8406 115.86 115.86 90.00
Positions (direct):
Ho1 0.2500 0.7500 0.5000
Ho2 0.7500 0.2500 0.5000
Tm1 0.0724 0.5724 0.7198
Tm2 0.8525 0.9276 0.2802
Tm3 0.9276 0.4276 0.2802
Tm4 0.3525 0.8525 0.2802
Tm5 0.5724 0.6475 0.7198
Tm6 0.6475 0.1475 0.7198
Tm7 0.1475 0.0724 0.7198
Tm8 0.4276 0.3525 0.2802
Tm9 0.5000 0.5000 0.0000
Tm10 0.0000 0.0000 0.0000
Nd1 0.1175 0.3825 0.0000
Nd2 0.8825 0.6175 0.0000
Nd3 0.3825 0.8825 0.0000
Nd4 0.6175 0.1175 0.0000
Tb1 0.7500 0.7500 0.5000
Tb2 0.2500 0.2500 0.5000

[4]
Crystalline Tb5Nd2YHo at its relaxed geometry, computed with GGA-PBE.

spin magnetization = 0.0 μB per formula unit
space-group type = I4/mcm (140)
electronic total energy = -41.3 eV per formula unit
density of states at the Fermi level = 1.3683 states/eV/atom

Lattice parameters (Å, degrees): 8.6311 8.6311 10.0176 115.52 115.52 90.00
Positions (direct):
Nd1 0.3813 0.8813 0.0000
Nd2 0.8813 0.6187 0.0000
Nd3 0.1187 0.3813 0.0000
Nd4 0.6187 0.1187 0.0000
Tb1 0.9278 0.4278 0.2812
Tb2 0.3534 0.8534 0.2812
Tb3 0.4278 0.3534 0.2812
Tb4 0.0722 0.5722 0.7188
Tb5 0.1466 0.0722 0.7188
Tb6 0.6466 0.1466 0.7188
Tb7 0.0000 0.0000 0.0000
Tb8 0.5000 0.5000 0.0000
Tb9 0.8534 0.9278 0.2812
Tb10 0.5722 0.6466 0.7188
Y1 0.2500 0.2500 0.5000
Y2 0.7500 0.7500 0.5000
Ho1 0.2500 0.7500 0.5000
Ho2 0.7500 0.2500 0.5000

[5]
Crystalline Tb5NdYHo2 at its relaxed geometry, computed with GGA-PBE.

spin magnetization = 0.0 μB per formula unit
space-group type = Cmc2_1 (36)
electronic total energy = -42.1 eV per formula unit
density of states at the Fermi level = 1.6207 states/eV/atom

Lattice parameters (Å, degrees): 5.6236 10.3163 10.6165 90.00 90.00 105.82
Positions (direct):
Tb1 0.4788 0.9576 0.7379
Tb2 0.2985 0.5969 0.7093
Tb3 0.9819 0.9638 0.5239
Tb4 0.6117 0.2233 0.5226
Tb5 0.7179 0.4358 0.8112
Tb6 0.7015 0.4031 0.2093
Tb7 0.2821 0.5642 0.3112
Tb8 0.3883 0.7767 0.0226
Tb9 0.0181 0.0362 0.0239
Tb10 0.5212 0.0424 0.2379
Nd1 0.5842 0.1684 0.9530
Nd2 0.4158 0.8316 0.4530
Ho1 0.1111 0.2221 0.7346
Ho2 0.8889 0.7779 0.2346
Ho3 0.8856 0.7712 0.8196
Ho4 0.1144 0.2288 0.3196
Y1 0.2005 0.4010 0.0118
Y2 0.7995 0.5990 0.5118

[6]
Crystalline TbNd3Y2Ho6 at its relaxed geometry, computed with GGA-PBE.

spin magnetization = 0.0 μB per formula unit
space-group type = C2/m (12)
electronic total energy = -59.1 eV per formula unit
density of states at the Fermi level = 1.3389 states/eV/atom

Lattice parameters (Å, degrees): 6.1980 6.1980 11.8162 95.00 95.00 119.97
Positions (direct):
Y1 0.3333 0.6667 0.0000
Y2 0.6667 0.3333 0.0000
Nd1 0.8332 0.1668 0.5000
Nd2 0.5000 0.5000 0.5000
Nd3 0.1668 0.8332 0.5000
Ho1 0.2502 0.2502 0.7528
Ho2 0.9175 0.5848 0.7528
Ho3 0.7498 0.7498 0.2472
Ho4 0.0825 0.4152 0.2472
Ho5 0.4152 0.0825 0.2472
Ho6 0.5848 0.9175 0.7528
Tb1 0.0000 0.0000 0.0000

[7]
Crystalline TbNd2YHo2 at its relaxed geometry, computed with GGA-PBE.

spin magnetization = 0.0 μB per formula unit
space-group type = P2_1/m (11)
electronic total energy = -29.0 eV per formula unit
density of states at the Fermi level = 1.7030 states/eV/atom

Lattice parameters (Å, degrees): 7.0579 9.7132 8.8402 138.69 90.00 90.00
Positions (direct):
Nd1 0.2500 0.6240 0.7760
Nd2 0.2500 0.2428 0.7330
Nd3 0.7500 0.7572 0.2670
Nd4 0.7500 0.3760 0.2240
Ho1 0.9993 0.0951 0.2783
Ho2 0.5007 0.0951 0.2783
Ho3 0.4993 0.9049 0.7217
Ho4 0.0007 0.9049 0.7217
Y1 0.7500 0.2473 0.7382
Y2 0.2500 0.7527 0.2618
Tb1 0.2500 0.3818 0.2298
Tb2 0.7500 0.6182 0.7702

[8]
Crystalline TbNd2Y2Ho4 at its relaxed geometry, computed with GGA-PBE.

spin magnetization = 0.0 μB per formula unit
space-group type = C2/m (12)
electronic total energy = -45.4 eV per formula unit
density of states at the Fermi level = 1.3659 states/eV/atom

Lattice parameters (Å, degrees): 3.6051 9.5284 9.5785 115.23 90.00 100.90
Positions (direct):
Y1 0.1467 0.2934 0.6625
Y2 0.8533 0.7066 0.3375
Nd1 0.3343 0.6687 0.9992
Nd2 0.6657 0.3313 0.0008
Ho1 0.4808 0.9615 0.6656
Ho2 0.1853 0.3706 0.3364
Ho3 0.5192 0.0385 0.3344
Ho4 0.8147 0.6294 0.6636
Tb1 0.0000 0.0000 0.0000

[9]
Crystalline TbNd5YHo2 at its relaxed geometry, computed with GGA-PBE.

spin magnetization = 0.0 μB per formula unit
space-group type = Cmc2_1 (36)
electronic total energy = -42.8 eV per formula unit
density of states at the Fermi level = 1.6291 states/eV/atom

Lattice parameters (Å, degrees): 5.6638 10.6345 10.7007 90.00 90.00 105.44
Positions (direct):
Ho1 0.1149 0.2297 0.3103
Ho2 0.8851 0.7703 0.8103
Ho3 0.1125 0.2249 0.7385
Ho4 0.8875 0.7751 0.2385
Nd1 0.2968 0.5936 0.7069
Nd2 0.6136 0.2272 0.5226
Nd3 0.2792 0.5583 0.3117
Nd4 0.7208 0.4417 0.8117
Nd5 0.9846 0.9692 0.5181
Nd6 0.3864 0.7728 0.0226
Nd7 0.5179 0.0358 0.2438
Nd8 0.0154 0.0308 0.0181
Nd9 0.7032 0.4064 0.2069
Nd10 0.4821 0.9642 0.7438
Tb1 0.8004 0.6008 0.5107
Tb2 0.1996 0.3992 0.0107
Y1 0.4078 0.8157 0.4613
Y2 0.5922 0.1843 0.9613

[10]
Crystalline TbNd2Y4Ho2 at its relaxed geometry, computed with GGA-PBE.

spin magnetization = 0.0 μB per formula unit
space-group type = P-1 (2)
electronic total energy = -48.4 eV per formula unit
density of states at the Fermi level = 1.6832 states/eV/atom

Lattice parameters (Å, degrees): 6.8546 9.9977 6.6371 121.46 127.14 59.06
Positions (direct):
Y1 0.3852 0.2397 0.4964
Y2 0.7451 0.8865 0.2078
Y3 0.2549 0.1135 0.7922
Y4 0.6148 0.7603 0.5036
Tb1 0.0000 0.0000 0.0000
Ho1 0.1765 0.5550 0.9655
Ho2 0.8235 0.4450 0.0345
Nd1 0.2727 0.6567 0.6084
Nd2 0.7273 0.3433 0.3916

[11]
Crystalline Tb5NdY2Ho at its relaxed geometry, computed with GGA-PBE.

spin magnetization = 0.0 μB per formula unit
space-group type = Cmc2_1 (36)
electronic total energy = -44.0 eV per formula unit
density of states at the Fermi level = 1.6458 states/eV/atom

Lattice parameters (Å, degrees): 5.6462 10.3319 10.5938 90.00 90.00 105.86
Positions (direct):
Nd1 0.4157 0.8314 0.4541
Nd2 0.5843 0.1686 0.9541
Tb1 0.3885 0.7771 0.0226
Tb2 0.7020 0.4040 0.2075
Tb3 0.4792 0.9584 0.7383
Tb4 0.6115 0.2229 0.5226
Tb5 0.2980 0.5960 0.7075
Tb6 0.7179 0.4358 0.8119
Tb7 0.9811 0.9622 0.5242
Tb8 0.2821 0.5642 0.3119
Tb9 0.0189 0.0378 0.0242
Tb10 0.5208 0.0416 0.2383
Y1 0.8858 0.7715 0.8200
Y2 0.1142 0.2285 0.3200
Y3 0.8889 0.7777 0.2340
Y4 0.1111 0.2223 0.7340
Ho1 0.7992 0.5983 0.5113
Ho2 0.2008 0.4017 0.0113

[12]
Crystalline TbNd2Y5Ho at its relaxed geometry, computed with GGA-PBE.

spin magnetization = 0.0 μB per formula unit
space-group type = I4/mcm (140)
electronic total energy = -48.7 eV per formula unit
density of states at the Fermi level = 1.2920 states/eV/atom

Lattice parameters (Å, degrees): 8.6746 8.6746 9.9729 115.78 115.78 90.00
Positions (direct):
Y1 0.1498 0.0714 0.7213
Y2 0.8502 0.9286 0.2787
Y3 0.0714 0.5714 0.7213
Y4 0.4286 0.3502 0.2787
Y5 0.5000 0.5000 0.0000
Y6 0.0000 0.0000 0.0000
Y7 0.5714 0.6498 0.7213
Y8 0.9286 0.4286 0.2787
Y9 0.6498 0.1498 0.7213
Y10 0.3502 0.8502 0.2787
Tb1 0.7500 0.7500 0.5000
Tb2 0.2500 0.2500 0.5000
Nd1 0.6176 0.1176 0.0000
Nd2 0.8824 0.6176 0.0000
Nd3 0.1176 0.3824 0.0000
Nd4 0.3824 0.8824 0.0000
Ho1 0.7500 0.2500 0.5000
Ho2 0.2500 0.7500 0.5000

[13]
Crystalline Tb2NdY5Ho at its relaxed geometry, computed with GGA-PBE.

spin magnetization = 0.0 μB per formula unit
space-group type = I4/mcm (140)
electronic total energy = -48.5 eV per formula unit
density of states at the Fermi level = 1.2846 states/eV/atom

Lattice parameters (Å, degrees): 8.8969 8.8969 9.7740 117.07 117.07 90.00
Positions (direct):
Tb1 0.1135 0.3865 0.0000
Tb2 0.8865 0.6135 0.0000
Tb3 0.3865 0.8865 0.0000
Tb4 0.6135 0.1135 0.0000
Y1 0.6607 0.1607 0.7330
Y2 0.5000 0.5000 0.0000
Y3 0.3393 0.8393 0.2670
Y4 0.9277 0.4277 0.2670
Y5 0.4277 0.3393 0.2670
Y6 0.0000 0.0000 0.0000
Y7 0.0723 0.5723 0.7330
Y8 0.8393 0.9277 0.2670
Y9 0.5723 0.6607 0.7330
Y10 0.1607 0.0723 0.7330
Ho1 0.2500 0.7500 0.5000
Ho2 0.7500 0.2500 0.5000
Nd1 0.2500 0.2500 0.5000
Nd2 0.7500 0.7500 0.5000

[14]
Crystalline Tb2NdYHo6 at its relaxed geometry, computed with GGA-PBE.

spin magnetization = 0.0 μB per formula unit
space-group type = C2/c (15)
electronic total energy = -46.8 eV per formula unit
density of states at the Fermi level = 1.4386 states/eV/atom

Lattice parameters (Å, degrees): 9.5683 8.7782 8.7782 118.11 93.89 93.89
Positions (direct):
Tb1 0.4553 0.8030 0.6975
Tb2 0.9553 0.6975 0.8030
Tb3 0.5447 0.1970 0.3025
Tb4 0.0447 0.3025 0.1970
Ho1 0.6196 0.4927 0.7085
Ho2 0.4431 0.2525 0.8765
Ho3 0.6826 0.0208 0.5681
Ho4 0.1826 0.5681 0.0208
Ho5 0.5569 0.7475 0.1235
Ho6 0.3804 0.5073 0.2915
Ho7 0.9431 0.8765 0.2525
Ho8 0.0569 0.1235 0.7475
Ho9 0.1196 0.7085 0.4927
Ho10 0.8174 0.4319 0.9792
Ho11 0.3174 0.9792 0.4319
Ho12 0.8804 0.2915 0.5073
Nd1 0.7500 0.0238 0.9762
Nd2 0.2500 0.9762 0.0238
Y1 0.7500 0.5914 0.4086
Y2 0.2500 0.4086 0.5914

[15]
Crystalline Tb3NdY2Ho6 at its relaxed geometry, computed with GGA-PBE.

spin magnetization = 0.0 μB per formula unit
space-group type = C2/m (12)
electronic total energy = -58.8 eV per formula unit
density of states at the Fermi level = 1.3016 states/eV/atom

Lattice parameters (Å, degrees): 6.1525 6.1525 11.7769 94.97 94.97 119.95
Positions (direct):
Tb1 0.1669 0.8331 0.5000
Tb2 0.5000 0.5000 0.5000
Tb3 0.8331 0.1669 0.5000
Ho1 0.7512 0.7512 0.2515
Ho2 0.9154 0.5821 0.7483
Ho3 0.5821 0.9154 0.7483
Ho4 0.4179 0.0846 0.2517
Ho5 0.2488 0.2488 0.7485
Ho6 0.0846 0.4179 0.2517
Y1 0.3333 0.6667 0.0000
Y2 0.6667 0.3333 0.0000
Nd1 0.0000 0.0000 0.0000

[16]
Crystalline Tb2Nd3YHo6 at its relaxed geometry, computed with GGA-PBE.

spin magnetization = 0.0 μB per formula unit
space-group type = C2/m (12)
electronic total energy = -57.3 eV per formula unit
density of states at the Fermi level = 1.2964 states/eV/atom

Lattice parameters (Å, degrees): 6.1975 6.1975 11.8069 95.00 95.00 119.98
Positions (direct):
Nd1 0.1666 0.8334 0.5000
Nd2 0.5000 0.5000 0.5000
Nd3 0.8334 0.1666 0.5000
Tb1 0.3334 0.6666 0.0000
Tb2 0.6666 0.3334 0.0000
Ho1 0.9172 0.5833 0.7529
Ho2 0.2511 0.2511 0.7528
Ho3 0.0828 0.4167 0.2471
Ho4 0.7489 0.7489 0.2472
Ho5 0.5833 0.9172 0.7529
Ho6 0.4167 0.0828 0.2471
Y1 0.0000 0.0000 0.0000

[17]
Crystalline Tb4Nd2Y2Ho at its relaxed geometry, computed with GGA-PBE.

spin magnetization = 0.0 μB per formula unit
space-group type = C2/m (12)
electronic total energy = -45.6 eV per formula unit
density of states at the Fermi level = 1.3452 states/eV/atom

Lattice parameters (Å, degrees): 3.6195 9.5597 9.6139 115.21 90.00 100.91
Positions (direct):
Tb1 0.8147 0.6294 0.6646
Tb2 0.5190 0.0380 0.3336
Tb3 0.4810 0.9620 0.6664
Tb4 0.1853 0.3706 0.3354
Nd1 0.3345 0.6691 0.9999
Nd2 0.6655 0.3309 0.0001
Y1 0.1467 0.2935 0.6633
Y2 0.8533 0.7065 0.3367
Ho1 0.0000 0.0000 0.0000

[18]
Crystalline Tb2Nd6YHo3 at its relaxed geometry, computed with GGA-PBE.

spin magnetization = 0.0 μB per formula unit
space-group type = C2/m (12)
electronic total energy = -57.9 eV per formula unit
density of states at the Fermi level = 1.1395 states/eV/atom

Lattice parameters (Å, degrees): 6.2772 6.2772 11.8705 95.04 95.04 120.00
Positions (direct):
Tb1 0.6666 0.3334 0.0000
Tb2 0.3334 0.6666 0.0000
Ho1 0.8333 0.1667 0.5000
Ho2 0.1667 0.8333 0.5000
Ho3 0.5000 0.5000 0.5000
Y1 0.0000 0.0000 0.0000
Nd1 0.7503 0.7503 0.2514
Nd2 0.2497 0.2497 0.7486
Nd3 0.5817 0.9157 0.7489
Nd4 0.0843 0.4183 0.2511
Nd5 0.9157 0.5817 0.7489
Nd6 0.4183 0.0843 0.2511

[19]
Crystalline TbNd2Y2Ho2 at its relaxed geometry, computed with GGA-PBE.

spin magnetization = 0.0 μB per formula unit
space-group type = C2/m (12)
electronic total energy = -35.7 eV per formula unit
density of states at the Fermi level = 1.7031 states/eV/atom

Lattice parameters (Å, degrees): 3.5241 6.1505 11.8469 72.07 90.00 106.65
Positions (direct):
Ho1 0.2278 0.4557 0.6349
Ho2 0.7722 0.5443 0.3651
Nd1 0.3274 0.6548 0.0858
Nd2 0.6726 0.3452 0.9142
Tb1 0.0000 0.0000 0.5000
Y1 0.4514 0.9027 0.7704
Y2 0.5486 0.0973 0.2296

In meV per atom, the energy relative to the elements values for the records above are, in order, 18 64 273 270 156 19 123 -3 148 83 153 258 272 118 18 18 -2 11 85.